Entry 1:
The following is a DFT calculation (PBE) of a geometry-optimized HfTcH2Pb structure.

- SG = P4/mmm
- mass density (Mg/m³) = 9.76

Cell: 3.8079 3.8079 5.7002 Å, 90.00 90.00 90.00°
Sites, in units of the cell vectors:
Hf (0.0000, 0.0000, 0.0000)
Tc (0.5000, 0.5000, 0.0000)
H (0.0000, 0.5000, 0.5000)
H (0.5000, 0.0000, 0.5000)
Pb (0.5000, 0.5000, 0.5000)

---

Entry 2:
The following is a DFT calculation (PBE) of a geometry-optimized Y2HfHPb structure.

- SG = P4/mmm
- mass density (Mg/m³) = 8.86

Cell: 4.8141 4.8141 4.5634 Å, 90.00 90.00 90.00°
Sites, in units of the cell vectors:
Y (0.0000, 0.5000, 0.0000)
Y (0.5000, 0.0000, 0.0000)
Hf (0.0000, 0.0000, 0.5000)
H (0.0000, 0.0000, 0.0000)
Pb (0.5000, 0.5000, 0.5000)

---

Entry 3:
The following is a DFT calculation (PBE) of a geometry-optimized Hf2ZrHPb structure.

- SG = P4/mmm
- relative energy among the computed polymorphs (eV/f.u.) = 0.37
- mass density (Mg/m³) = 11.70

Cell: 4.2780 4.2780 5.0924 Å, 90.00 90.00 90.00°
Sites, in units of the cell vectors:
Hf (0.0000, 0.5000, 0.0000)
Hf (0.5000, 0.0000, 0.0000)
Zr (0.0000, 0.0000, 0.5000)
H (0.5000, 0.5000, 0.0000)
Pb (0.5000, 0.5000, 0.5000)

---

Entry 4:
The following is a DFT calculation (PBE) of a geometry-optimized Hf2ZrHPb structure.

- SG = P4/mmm
- relative energy among the computed polymorphs (eV/f.u.) = 0.00
- mass density (Mg/m³) = 12.05

Cell: 4.5318 4.5318 4.4060 Å, 90.00 90.00 90.00°
Sites, in units of the cell vectors:
Hf (0.0000, 0.5000, 0.0000)
Hf (0.5000, 0.0000, 0.0000)
Zr (0.0000, 0.0000, 0.5000)
H (0.0000, 0.0000, 0.0000)
Pb (0.5000, 0.5000, 0.5000)

---

no.,final energy (eV/atom)
1,-5.380
2,-6.238
3,-7.217
4,-7.291